1.
Here is a PBEsol-optimized structure of ZnRe2Ni from the Alexandria database. Energies are from SCAN.

Cell: 3.258 3.965 4.857 Å, 114.09 109.60 90.00°
Fractional coordinates of all 4 atoms:
Ni 0.500 0.000 0.000
Re 0.752 0.752 0.504
Re 0.248 0.248 0.496
Zn 0.000 0.500 0.000

Values from the calculation:
Calculated total energy = -171.25 eV for the cell shown
DFT formation energy = 0.16 eV/atom
Total moment = 0.00 μB per formula unit

=====

2.
Here is a PBEsol-optimized structure of LaW2Cl from the Alexandria database. Energies are from SCAN.

Cell: 3.124 4.294 7.510 Å, 73.61 78.00 68.67°
Fractional coordinates of all 4 atoms:
Cl 0.419 0.640 0.522
W 0.041 0.965 0.953
W 0.811 0.575 0.803
La 0.229 0.321 0.222

Values from the calculation:
Uncorrected formation energy = 0.143 eV per atom
Calculated total energy = -189.89 eV for the cell shown
Energy above the most stable polymorph in this dataset = 0 meV/atom
Total moment = 0.00 μB per formula unit